[1]
# Ag3TeAs (GGA-PBEsol, optimized geometry)
data_Ag3TeAs
_cell_length_a 5.177
_cell_length_b 5.177
_cell_length_c 5.177
_cell_angle_alpha 90.00
_cell_angle_beta 90.00
_cell_angle_gamma 90.00
_symmetry_space_group_name_H-M 'P 1'
_symmetry_Int_Tables_number 1
loop_
_symmetry_equiv_pos_as_xyz
'x,y,z'
loop_
_atom_site_label
_atom_site_fract_x
_atom_site_fract_y
_atom_site_fract_z
_atom_site_occupancy
As1 0.500 0.500 0.500 1
Te1 0.000 0.000 0.000 1
Ag1 0.500 0.000 0.000 1
Ag2 0.000 0.500 0.000 1
Ag3 0.000 0.000 0.500 1
# Crystal system ... cubic
# Symmetry ... Pm-3m, No. 221
# Formation energy without anion corrections ... 4.1 eV/f.u.


[2]
# AgTeAs2 (GGA-PBEsol, optimized geometry)
data_AgTeAs2
_cell_length_a 3.993
_cell_length_b 3.993
_cell_length_c 5.263
_cell_angle_alpha 90.00
_cell_angle_beta 90.00
_cell_angle_gamma 90.00
_symmetry_space_group_name_H-M 'P 1'
_symmetry_Int_Tables_number 1
loop_
_symmetry_equiv_pos_as_xyz
'x,y,z'
loop_
_atom_site_label
_atom_site_fract_x
_atom_site_fract_y
_atom_site_fract_z
_atom_site_occupancy
Ag1 0.000 0.000 0.500 1
As1 0.500 0.000 0.000 1
As2 0.000 0.500 0.000 1
Te1 0.500 0.500 0.500 1
# Crystal system ... tetragonal
# Symmetry ... P4/mmm, No. 123
# Formation energy without anion corrections ... 1.5 eV/f.u.


[3]
# AgTe2As2 (GGA-PBEsol, optimized geometry)
data_AgTe2As2
_cell_length_a 3.756
_cell_length_b 3.756
_cell_length_c 8.684
_cell_angle_alpha 102.49
_cell_angle_beta 102.49
_cell_angle_gamma 90.00
_symmetry_space_group_name_H-M 'P 1'
_symmetry_Int_Tables_number 1
loop_
_symmetry_equiv_pos_as_xyz
'x,y,z'
loop_
_atom_site_label
_atom_site_fract_x
_atom_site_fract_y
_atom_site_fract_z
_atom_site_occupancy
Te1 0.592 0.592 0.185 1
Te2 0.408 0.408 0.815 1
As1 0.750 0.250 0.500 1
As2 0.250 0.750 0.500 1
Ag1 0.000 0.000 0.000 1
# Crystal system ... tetragonal
# Symmetry ... I4/mmm, No. 139
# Formation energy without anion corrections ... 1.4 eV/f.u.


[4]
# AgTeAs (GGA-PBEsol, optimized geometry)
data_AgTeAs
_cell_length_a 4.767
_cell_length_b 4.767
_cell_length_c 4.767
_cell_angle_alpha 60.00
_cell_angle_beta 60.00
_cell_angle_gamma 60.00
_symmetry_space_group_name_H-M 'P 1'
_symmetry_Int_Tables_number 1
loop_
_symmetry_equiv_pos_as_xyz
'x,y,z'
loop_
_atom_site_label
_atom_site_fract_x
_atom_site_fract_y
_atom_site_fract_z
_atom_site_occupancy
Te1 0.250 0.250 0.250 1
Ag1 0.000 0.000 0.000 1
As1 0.500 0.500 0.500 1
# Crystal system ... cubic
# Symmetry ... F-43m, No. 216
# Formation energy without anion corrections ... 1.4 eV/f.u.


[5]
# AgTeAs2 (GGA-PBEsol, optimized geometry)
data_AgTeAs2
_cell_length_a 2.915
_cell_length_b 5.447
_cell_length_c 5.697
_cell_angle_alpha 90.00
_cell_angle_beta 105.08
_cell_angle_gamma 90.00
_symmetry_space_group_name_H-M 'P 1'
_symmetry_Int_Tables_number 1
loop_
_symmetry_equiv_pos_as_xyz
'x,y,z'
loop_
_atom_site_label
_atom_site_fract_x
_atom_site_fract_y
_atom_site_fract_z
_atom_site_occupancy
As1 0.131 0.500 0.123 1
As2 0.113 0.000 0.107 1
Te1 0.353 0.000 0.589 1
Ag1 0.402 0.500 0.682 1
# Crystal system ... monoclinic
# Symmetry ... Pm, No. 6
# Formation energy without anion corrections ... 0.7 eV/f.u.


[6]
# AgTeAs2 (GGA-PBEsol, optimized geometry)
data_AgTeAs2
_cell_length_a 2.939
_cell_length_b 4.180
_cell_length_c 7.035
_cell_angle_alpha 90.00
_cell_angle_beta 90.00
_cell_angle_gamma 90.00
_symmetry_space_group_name_H-M 'P 1'
_symmetry_Int_Tables_number 1
loop_
_symmetry_equiv_pos_as_xyz
'x,y,z'
loop_
_atom_site_label
_atom_site_fract_x
_atom_site_fract_y
_atom_site_fract_z
_atom_site_occupancy
As1 0.000 0.000 0.317 1
As2 0.000 0.000 0.683 1
Te1 0.500 0.500 0.000 1
Ag1 0.500 0.500 0.500 1
# Crystal system ... orthorhombic
# Symmetry ... Pmmm, No. 47
# Formation energy without anion corrections ... 1.3 eV/f.u.


[7]
# AgTeAs2 (GGA-PBEsol, optimized geometry)
data_AgTeAs2
_cell_length_a 2.897
_cell_length_b 2.897
_cell_length_c 10.513
_cell_angle_alpha 90.00
_cell_angle_beta 90.00
_cell_angle_gamma 90.00
_symmetry_space_group_name_H-M 'P 1'
_symmetry_Int_Tables_number 1
loop_
_symmetry_equiv_pos_as_xyz
'x,y,z'
loop_
_atom_site_label
_atom_site_fract_x
_atom_site_fract_y
_atom_site_fract_z
_atom_site_occupancy
As1 0.000 0.000 0.308 1
As2 0.000 0.000 0.692 1
Ag1 0.500 0.500 0.500 1
Te1 0.500 0.500 0.000 1
# Crystal system ... tetragonal
# Symmetry ... P4/mmm, No. 123
# Formation energy without anion corrections ... 1.2 eV/f.u.


[8]
# Ti3AgAs (GGA-PBEsol, optimized geometry)
data_Ti3AgAs
_cell_length_a 4.623
_cell_length_b 4.623
_cell_length_c 4.623
_cell_angle_alpha 90.00
_cell_angle_beta 90.00
_cell_angle_gamma 90.00
_symmetry_space_group_name_H-M 'P 1'
_symmetry_Int_Tables_number 1
loop_
_symmetry_equiv_pos_as_xyz
'x,y,z'
loop_
_atom_site_label
_atom_site_fract_x
_atom_site_fract_y
_atom_site_fract_z
_atom_site_occupancy
Ti1 0.000 0.000 0.500 1
Ti2 0.000 0.500 0.000 1
Ti3 0.500 0.000 0.000 1
As1 0.000 0.000 0.000 1
Ag1 0.500 0.500 0.500 1
# Crystal system ... cubic
# Symmetry ... Pm-3m, No. 221
# DFT formation energy ... 0.224 eV/atom


Number 1: theoretical density 6.3 Mg/m³, M_tot 2.0 μB/f.u.. Number 2: theoretical density 7.6 Mg/m³, M_tot 0.0 μB/f.u.. Number 3: theoretical density 7.3 Mg/m³, M_tot 0.0 μB/f.u.. Number 4: theoretical density 6.7 Mg/m³, M_tot 0.0 μB/f.u.. Number 5: theoretical density 7.3 Mg/m³, M_tot 0.0 μB/f.u.. Number 6: theoretical density 7.4 Mg/m³, M_tot 0.0 μB/f.u.. Number 7: theoretical density 7.3 Mg/m³, M_tot 0.0 μB/f.u.. Number 8: theoretical density 5.5 Mg/m³, M_tot 0.0 μB/f.u..